# LaFeSn2 (PBE, optimized geometry)
data_LaFeSn2
_cell_length_a 5.052
_cell_length_b 5.052
_cell_length_c 5.052
_cell_angle_alpha 60.00
_cell_angle_beta 60.00
_cell_angle_gamma 60.00
_space_group_name_H-M_alt 'P 1'
_space_group_IT_number 1
loop_
_space_group_symop_operation_xyz
'x,y,z'
loop_
_atom_site_label
_atom_site_fract_x
_atom_site_fract_y
_atom_site_fract_z
_atom_site_occupancy
Fe1 0.000 0.000 0.000 1
Sn1 0.250 0.250 0.250 1
Sn2 0.750 0.750 0.750 1
La1 0.500 0.500 0.500 1
# formation energy	0.10	eV per atom

=====

# La4FeSn8 (PBE, optimized geometry)
data_La4FeSn8
_cell_length_a 4.565
_cell_length_b 4.679
_cell_length_c 17.124
_cell_angle_alpha 90.00
_cell_angle_beta 90.00
_cell_angle_gamma 90.00
_space_group_name_H-M_alt 'P 1'
_space_group_IT_number 1
loop_
_space_group_symop_operation_xyz
'x,y,z'
loop_
_atom_site_label
_atom_site_fract_x
_atom_site_fract_y
_atom_site_fract_z
_atom_site_occupancy
La1 0.000 0.000 0.099 1
La2 0.000 0.500 0.604 1
La3 0.500 0.500 0.397 1
La4 0.500 0.000 0.899 1
Fe1 0.000 0.000 0.304 1
Sn1 0.000 0.000 0.453 1
Sn2 0.000 0.500 0.937 1
Sn3 0.500 0.500 0.057 1
Sn4 0.500 0.000 0.568 1
Sn5 0.000 0.500 0.242 1
Sn6 0.000 0.000 0.749 1
Sn7 0.500 0.000 0.240 1
Sn8 0.500 0.500 0.754 1
# formation energy	-0.59	eV per atom

=====

# LaFeSn2 (PBE, optimized geometry)
data_LaFeSn2
_cell_length_a 5.124
_cell_length_b 5.124
_cell_length_c 9.615
_cell_angle_alpha 74.55
_cell_angle_beta 74.55
_cell_angle_gamma 90.00
_space_group_name_H-M_alt 'P 1'
_space_group_IT_number 1
loop_
_space_group_symop_operation_xyz
'x,y,z'
loop_
_atom_site_label
_atom_site_fract_x
_atom_site_fract_y
_atom_site_fract_z
_atom_site_occupancy
Fe1 0.500 0.500 0.000 1
Fe2 0.250 0.750 0.500 1
Sn1 0.499 0.125 0.250 1
Sn2 0.251 0.625 0.250 1
Sn3 0.375 0.501 0.750 1
Sn4 0.875 0.749 0.750 1
La1 0.000 0.000 0.000 1
La2 0.750 0.250 0.500 1
# formation energy	0.06	eV per atom

=====

# SrLaFe2Sn (PBE, optimized geometry)
data_SrLaFe2Sn
_cell_length_a 4.720
_cell_length_b 5.619
_cell_length_c 4.720
_cell_angle_alpha 90.00
_cell_angle_beta 90.00
_cell_angle_gamma 90.00
_space_group_name_H-M_alt 'P 1'
_space_group_IT_number 1
loop_
_space_group_symop_operation_xyz
'x,y,z'
loop_
_atom_site_label
_atom_site_fract_x
_atom_site_fract_y
_atom_site_fract_z
_atom_site_occupancy
Fe1 0.000 0.000 0.500 1
Fe2 0.500 0.000 0.000 1
Sr1 0.000 0.000 0.000 1
Sn1 0.500 0.500 0.500 1
La1 0.000 0.500 0.000 1
# formation energy	1.76	eV per atom

=====

# La2FeSnTe (PBE, optimized geometry)
data_La2FeSnTe
_cell_length_a 5.357
_cell_length_b 4.798
_cell_length_c 5.357
_cell_angle_alpha 90.00
_cell_angle_beta 90.00
_cell_angle_gamma 90.00
_space_group_name_H-M_alt 'P 1'
_space_group_IT_number 1
loop_
_space_group_symop_operation_xyz
'x,y,z'
loop_
_atom_site_label
_atom_site_fract_x
_atom_site_fract_y
_atom_site_fract_z
_atom_site_occupancy
Fe1 0.000 0.000 0.000 1
Te1 0.000 0.500 0.000 1
Sn1 0.500 0.500 0.500 1
La1 0.000 0.000 0.500 1
La2 0.500 0.000 0.000 1
# formation energy (no corrections)	-446	meV/atom

=====

# La2TlFeSn (PBE, optimized geometry)
data_La2TlFeSn
_cell_length_a 5.241
_cell_length_b 5.241
_cell_length_c 5.011
_cell_angle_alpha 90.00
_cell_angle_beta 90.00
_cell_angle_gamma 90.00
_space_group_name_H-M_alt 'P 1'
_space_group_IT_number 1
loop_
_space_group_symop_operation_xyz
'x,y,z'
loop_
_atom_site_label
_atom_site_fract_x
_atom_site_fract_y
_atom_site_fract_z
_atom_site_occupancy
Fe1 0.000 0.000 0.000 1
Tl1 0.500 0.500 0.500 1
Sn1 0.000 0.000 0.500 1
La1 0.000 0.500 0.000 1
La2 0.500 0.000 0.000 1
# formation energy	-0.32	eV per atom

=====

# LaVFeSn (PBE, optimized geometry)
data_LaVFeSn
_cell_length_a 4.869
_cell_length_b 3.902
_cell_length_c 9.896
_cell_angle_alpha 90.00
_cell_angle_beta 108.83
_cell_angle_gamma 90.00
_space_group_name_H-M_alt 'P 1'
_space_group_IT_number 1
loop_
_space_group_symop_operation_xyz
'x,y,z'
loop_
_atom_site_label
_atom_site_fract_x
_atom_site_fract_y
_atom_site_fract_z
_atom_site_occupancy
La1 0.022 0.000 0.074 1
La2 0.022 0.500 0.574 1
Fe1 0.847 0.000 0.325 1
Fe2 0.847 0.500 0.825 1
Sn1 0.417 0.000 0.424 1
Sn2 0.417 0.500 0.924 1
V1 0.624 0.000 0.739 1
V2 0.624 0.500 0.239 1
# formation energy	0.05	eV per atom
# energy above the lowest structure with this stoichiometry	0.0132	eV per atom

=====

# LaVFeSn (PBE, optimized geometry)
data_LaVFeSn
_cell_length_a 4.531
_cell_length_b 3.372
_cell_length_c 5.863
_cell_angle_alpha 90.00
_cell_angle_beta 112.65
_cell_angle_gamma 90.00
_space_group_name_H-M_alt 'P 1'
_space_group_IT_number 1
loop_
_space_group_symop_operation_xyz
'x,y,z'
loop_
_atom_site_label
_atom_site_fract_x
_atom_site_fract_y
_atom_site_fract_z
_atom_site_occupancy
Fe1 0.601 0.500 0.865 1
V1 0.465 0.000 0.596 1
Sn1 0.882 0.500 0.432 1
La1 0.176 0.000 0.016 1
# formation energy	0.04	eV per atom
# energy above the lowest structure with this stoichiometry	0.0000	eV per atom

=====

# LaVFeSn (PBE, optimized geometry)
data_LaVFeSn
_cell_length_a 3.475
_cell_length_b 4.476
_cell_length_c 5.809
_cell_angle_alpha 90.00
_cell_angle_beta 90.00
_cell_angle_gamma 90.00
_space_group_name_H-M_alt 'P 1'
_space_group_IT_number 1
loop_
_space_group_symop_operation_xyz
'x,y,z'
loop_
_atom_site_label
_atom_site_fract_x
_atom_site_fract_y
_atom_site_fract_z
_atom_site_occupancy
Fe1 0.500 0.000 0.198 1
V1 0.000 0.000 0.441 1
Sn1 0.500 0.500 0.474 1
La1 0.000 0.500 0.977 1
# formation energy	0.05	eV per atom
# energy above the lowest structure with this stoichiometry	0.0132	eV per atom

=====

# SrLa2Fe (PBE, optimized geometry)
data_SrLa2Fe
_cell_length_a 3.723
_cell_length_b 3.723
_cell_length_c 9.291
_cell_angle_alpha 90.00
_cell_angle_beta 90.00
_cell_angle_gamma 90.01
_space_group_name_H-M_alt 'P 1'
_space_group_IT_number 1
loop_
_space_group_symop_operation_xyz
'x,y,z'
loop_
_atom_site_label
_atom_site_fract_x
_atom_site_fract_y
_atom_site_fract_z
_atom_site_occupancy
Fe1 0.500 0.500 0.791 1
La1 0.000 0.000 0.937 1
La2 0.500 0.500 0.211 1
Sr1 0.000 0.000 0.561 1
# formation energy	0.30	eV per atom
# energy above the lowest structure with this stoichiometry	0.1556	eV per atom

=====

# Sr4LaFe (PBE, optimized geometry)
data_Sr4LaFe
_cell_length_a 7.277
_cell_length_b 7.277
_cell_length_c 7.277
_cell_angle_alpha 60.00
_cell_angle_beta 60.00
_cell_angle_gamma 60.00
_space_group_name_H-M_alt 'P 1'
_space_group_IT_number 1
loop_
_space_group_symop_operation_xyz
'x,y,z'
loop_
_atom_site_label
_atom_site_fract_x
_atom_site_fract_y
_atom_site_fract_z
_atom_site_occupancy
Sr1 0.874 0.375 0.375 1
Sr2 0.375 0.375 0.874 1
Sr3 0.375 0.874 0.375 1
Sr4 0.375 0.375 0.375 1
La1 0.000 0.000 0.000 1
Fe1 0.750 0.750 0.750 1
# formation energy	0.88	eV per atom

=====

# SrLa2Fe (PBE, optimized geometry)
data_SrLa2Fe
_cell_length_a 5.432
_cell_length_b 5.432
_cell_length_c 5.432
_cell_angle_alpha 60.00
_cell_angle_beta 60.00
_cell_angle_gamma 60.00
_space_group_name_H-M_alt 'P 1'
_space_group_IT_number 1
loop_
_space_group_symop_operation_xyz
'x,y,z'
loop_
_atom_site_label
_atom_site_fract_x
_atom_site_fract_y
_atom_site_fract_z
_atom_site_occupancy
Sr1 0.500 0.500 0.500 1
Fe1 0.000 0.000 0.000 1
La1 0.250 0.250 0.250 1
La2 0.750 0.750 0.750 1
# formation energy	0.62	eV per atom
# energy above the lowest structure with this stoichiometry	0.4811	eV per atom

=====

Copy entry 4 word for word.
# SrLaFe2Sn (PBE, optimized geometry)
data_SrLaFe2Sn
_cell_length_a 4.720
_cell_length_b 5.619
_cell_length_c 4.720
_cell_angle_alpha 90.00
_cell_angle_beta 90.00
_cell_angle_gamma 90.00
_space_group_name_H-M_alt 'P 1'
_space_group_IT_number 1
loop_
_space_group_symop_operation_xyz
'x,y,z'
loop_
_atom_site_label
_atom_site_fract_x
_atom_site_fract_y
_atom_site_fract_z
_atom_site_occupancy
Fe1 0.000 0.000 0.500 1
Fe2 0.500 0.000 0.000 1
Sr1 0.000 0.000 0.000 1
Sn1 0.500 0.500 0.500 1
La1 0.000 0.500 0.000 1
# formation energy	1.76	eV per atom